First-principles (meta-GGA SCAN) data for a crystal of Li2PdAu2 relaxed with PBEsol, as listed in Alexandria via LeMat-Bulk.

Cell and atoms, written as POSCAR:
```
Li2PdAu2
1.0
-1.042 2.100 -3.030
-2.917 -2.396 -0.657
-1.029 2.988 4.846
Au Pd Li
2 1 2
direct
0.750 0.250 0.500
0.250 0.750 0.500
0.000 0.000 0.000
0.400 0.400 0.800
0.600 0.600 0.200
```

Calculated values
Symmetry = I4/mmm, No. 139
ΔE_f = -0.22 eV per atom

=====

First-principles (meta-GGA SCAN) data for a crystal of LiPdAu relaxed with PBEsol, as listed in Alexandria via LeMat-Bulk.

Cell and atoms, written as POSCAR:
```
LiPdAu
1.0
4.780 0.000 -0.006
-2.383 4.144 -0.006
-0.859 -1.485 4.485
Li Pd Au
2 2 2
direct
0.361 0.639 0.500
0.028 0.972 0.500
0.531 0.469 0.000
0.198 0.802 0.000
0.866 0.134 0.000
0.691 0.309 0.500
```

Calculated values
Symmetry = C2, No. 5
ΔE_f = -0.48 eV per atom

=====

First-principles (meta-GGA SCAN) data for a crystal of RbLiPdAu2 relaxed with PBEsol, as listed in Alexandria via LeMat-Bulk.

Cell and atoms, written as POSCAR:
```
RbLiPdAu2
1.0
-3.776 -0.275 2.527
2.948 -1.881 4.199
0.791 5.120 1.738
Au Pd Li Rb
2 1 1 1
direct
0.000 0.500 0.000
0.000 0.000 0.500
0.500 0.500 0.500
0.500 0.000 0.000
0.000 0.000 0.000
```

Calculated values
Symmetry = P4/mmm, No. 123
ΔE_f = 1.23 eV per atom

=====

Result set for spin magnetization: 0.000; 0.000; 0.000 μB/f.u., one per record in the order listed.